No. 1
Entry from Alexandria via LeMat-Bulk: an optimized crystal structure of CuReBr4 (PBEsol).

Space-group type: No. 216
E_form (uncorrected), eV/atom: 1.76

Lattice parameters (Å, degrees): 5.9768 5.9768 5.9768 60.00 60.00 60.00
Fractional coordinates of all 6 atoms:
1 Cu 0.0000 0.0000 0.0000
2 Re 0.2500 0.2500 0.2500
3 Br 0.1250 0.6250 0.6250
4 Br 0.6250 0.1250 0.6250
5 Br 0.6250 0.6250 0.1250
6 Br 0.6250 0.6250 0.6250

---

No. 2
Entry from Alexandria via LeMat-Bulk: an optimized crystal structure of GaCo2RePd (PBEsol).

Space-group type: No. 123

Lattice parameters (Å, degrees): 4.1875 4.1875 4.5451 90.00 90.00 90.00
Fractional coordinates of all 5 atoms:
1 Ga 0.0000 0.0000 0.0000
2 Co 0.0000 0.5000 0.0000
3 Co 0.5000 0.0000 0.0000
4 Re 0.0000 0.0000 0.5000
5 Pd 0.5000 0.5000 0.5000

---

No. 3
Entry from Alexandria via LeMat-Bulk: an optimized crystal structure of SrTl2Sb (PBEsol).

Space-group type: No. 71
Energy above the most stable polymorph in this dataset, meV per atom: 59
E_form (uncorrected), eV/atom: -0.41

Lattice parameters (Å, degrees): 6.4065 6.4065 6.4065 141.54 132.57 62.64
Fractional coordinates of all 4 atoms:
1 Sr 0.0000 0.0000 0.0000
2 Tl 0.2709 0.7709 0.5000
3 Tl 0.7291 0.2291 0.5000
4 Sb 0.5000 0.5000 0.0000

---

No. 4
Entry from Alexandria via LeMat-Bulk: an optimized crystal structure of Co3CBr (PBEsol).

Space-group type: No. 221
E_form (uncorrected), eV/atom: 2.39

Lattice parameters (Å, degrees): 4.2202 4.2202 4.2202 90.00 90.00 90.00
Fractional coordinates of all 5 atoms:
1 Co 0.0000 0.0000 0.5000
2 Co 0.0000 0.5000 0.0000
3 Co 0.5000 0.0000 0.0000
4 C 0.5000 0.5000 0.5000
5 Br 0.0000 0.0000 0.0000

---

No. 5
Entry from Alexandria via LeMat-Bulk: an optimized crystal structure of ZnS (PBEsol).

Space-group type: No. 186
E_form (uncorrected), eV/atom: -0.81

Lattice parameters (Å, degrees): 3.7819 3.7819 6.2080 90.00 90.00 120.00
Fractional coordinates of all 4 atoms:
1 Zn 0.3333 0.6667 0.0000
2 Zn 0.6667 0.3333 0.5000
3 S 0.3333 0.6667 0.6258
4 S 0.6667 0.3333 0.1258

---

No. 6
Entry from Alexandria via LeMat-Bulk: an optimized crystal structure of CoRuCl (PBEsol).

Space-group type: No. 156
E_form (uncorrected), eV/atom: 0.42

Lattice parameters (Å, degrees): 2.8206 2.8206 5.6660 90.00 90.00 120.00
Fractional coordinates of all 3 atoms:
1 Co 0.0000 0.0000 0.0000
2 Ru 0.6667 0.3333 0.6768
3 Cl 0.3333 0.6667 0.3136

---

No. 7
Entry from Alexandria via LeMat-Bulk: an optimized crystal structure of Fe2NiCl (PBEsol).

Space-group type: No. 35
Energy above the most stable polymorph in this dataset, meV per atom: 156
E_form (uncorrected), eV/atom: 0.33

Lattice parameters (Å, degrees): 2.7452 2.7452 7.3428 90.00 90.00 112.22
Fractional coordinates of all 4 atoms:
1 Fe 0.0000 0.0000 0.0000
2 Fe 0.5000 0.5000 0.2466
3 Ni 0.5000 0.5000 0.7599
4 Cl 0.0000 0.0000 0.4992

---

No. 8
Entry from Alexandria via LeMat-Bulk: an optimized crystal structure of KBaTl2 (PBEsol).

Space-group type: No. 8
Energy above the most stable polymorph in this dataset, meV per atom: 4

Lattice parameters (Å, degrees): 6.9192 6.9192 5.8999 114.95 114.95 34.64
Fractional coordinates of all 4 atoms:
1 K 0.0000 0.0000 0.0000
2 Ba 0.8020 0.8020 0.3040
3 Tl 0.2388 0.2388 0.7417
4 Tl 0.5490 0.5490 0.5488

---

No. 9
Entry from Alexandria via LeMat-Bulk: an optimized crystal structure of FeNi2Ru (PBEsol).

Space-group type: No. 25

Lattice parameters (Å, degrees): 2.5011 4.0863 4.4456 90.00 90.00 90.00
Fractional coordinates of all 4 atoms:
1 Fe 0.0000 0.0000 0.0000
2 Ni 0.5000 0.0000 0.5082
3 Ni 0.5000 0.5000 0.8248
4 Ru 0.0000 0.5000 0.3291

---

No. 10
Entry from Alexandria via LeMat-Bulk: an optimized crystal structure of HgAs5 (PBEsol).

Space-group type: No. 191

Lattice parameters (Å, degrees): 5.5463 5.5463 4.7073 90.00 90.00 120.00
Fractional coordinates of all 6 atoms:
1 Hg 0.0000 0.0000 0.0000
2 As 0.0000 0.5000 0.5000
3 As 0.3333 0.6667 0.0000
4 As 0.5000 0.0000 0.5000
5 As 0.5000 0.5000 0.5000
6 As 0.6667 0.3333 0.0000

---

No. 11
Entry from Alexandria via LeMat-Bulk: an optimized crystal structure of Rb2PtBr (PBEsol).

Space-group type: No. 225
E_form (uncorrected), eV/atom: -0.21

Lattice parameters (Å, degrees): 5.6854 5.6854 5.6854 60.00 60.00 60.00
Fractional coordinates of all 4 atoms:
1 Rb 0.2500 0.2500 0.2500
2 Rb 0.7500 0.7500 0.7500
3 Pt 0.0000 0.0000 0.0000
4 Br 0.5000 0.5000 0.5000

---

No. 12
Entry from Alexandria via LeMat-Bulk: an optimized crystal structure of MgTe6O13 (PBEsol).

Space-group type: No. 148
E_form (uncorrected), eV/atom: -1.24

Lattice parameters (Å, degrees): 8.5853 8.5853 8.5853 71.99 71.99 71.99
Fractional coordinates of all 40 atoms:
1 Mg 0.2452 0.2452 0.2452
2 Mg 0.7548 0.7548 0.7548
3 Te 0.0267 0.3289 0.9169
4 Te 0.0831 0.9733 0.6711
5 Te 0.1660 0.5677 0.4847
6 Te 0.3289 0.9169 0.0267
7 Te 0.4323 0.5153 0.8340
8 Te 0.4847 0.1660 0.5677
9 Te 0.5153 0.8340 0.4323
10 Te 0.5677 0.4847 0.1660
11 Te 0.6711 0.0831 0.9733
12 Te 0.8340 0.4323 0.5153
13 Te 0.9169 0.0267 0.3289
14 Te 0.9733 0.6711 0.0831
15 O 0.0448 0.1360 0.3857
16 O 0.1041 0.3981 0.4195
17 O 0.1173 0.7972 0.8743
18 O 0.1257 0.8827 0.2028
19 O 0.1360 0.3857 0.0448
20 O 0.1996 0.4513 0.7022
21 O 0.2028 0.1257 0.8827
22 O 0.2978 0.8004 0.5487
23 O 0.3857 0.0448 0.1360
24 O 0.3981 0.4195 0.1041
25 O 0.4141 0.4141 0.4141
26 O 0.4195 0.1041 0.3981
27 O 0.4513 0.7022 0.1996
28 O 0.5487 0.2978 0.8004
29 O 0.5805 0.8959 0.6019
30 O 0.5859 0.5859 0.5859
31 O 0.6019 0.5805 0.8959
32 O 0.6143 0.9552 0.8640
33 O 0.7022 0.1996 0.4513
34 O 0.7972 0.8743 0.1173
35 O 0.8004 0.5487 0.2978
36 O 0.8640 0.6143 0.9552
37 O 0.8743 0.1173 0.7972
38 O 0.8827 0.2028 0.1257
39 O 0.8959 0.6019 0.5805
40 O 0.9552 0.8640 0.6143

---

| no. | total DFT energy (no corrections) (eV/cell) |
| --- | --- |
| 1 | -14.56 |
| 2 | -30.80 |
| 3 | -13.30 |
| 4 | -22.79 |
| 5 | -15.17 |
| 6 | -18.66 |
| 7 | -24.76 |
| 8 | -9.45 |
| 9 | -31.17 |
| 10 | -23.58 |
| 11 | -11.72 |
| 12 | -231.92 |